DFT (GGA-PBE) results for a relaxed structure of SrWSe2.

Unit cell a=4.0441 b=4.0441 c=12.6330 alpha=90.00 beta=90.00 gamma=90.00
Closest atoms and distances in Å follow each position.
Space group I-4m2 (No. 119)
Unique sites:
Sr1 0.0000 0.0000 0.0000 [2 per cell]  4 Se 2.86
W1 0.0000 0.5000 0.7500 [2 per cell]  4 Se 2.86
Se1 0.0000 0.0000 0.5000 [2 per cell]  4 Sr 2.86
Se2 0.0000 0.5000 0.2500 [2 per cell]  4 W 2.86

DFT (GGA-PBE) results for a relaxed structure of SrWSe2.

Unit cell a=6.8376 b=6.8376 c=6.8376 alpha=90.00 beta=90.00 gamma=90.00
Closest atoms and distances in Å follow each position.
Space group Fm-3m (No. 225)
Unique sites:
Sr1 0.0000 0.0000 0.0000 [4 per cell]  8 Se 2.96
W1 0.0000 0.0000 0.5000 [4 per cell]  8 Se 2.96
Se1 0.2500 0.2500 0.2500 [8 per cell]  4 W 2.96, 4 Sr 2.96

no.,E_form (uncorrected) (eV per atom),E (eV per formula unit)
1,0.176,-20.900
2,-0.172,-22.291